1.
The following is a DFT calculation (PBE) of CrFeAg2 after structural relaxation.

Cell and atoms, written as CIF:
```
data_CrFeAg2
_chemical_formula_sum 'Cr1 Fe1 Ag2'
_symmetry_space_group_name_H-M 'P 1'
_symmetry_Int_Tables_number 1
_cell_length_a 2.877
_cell_length_b 2.838
_cell_length_c 7.914
_cell_angle_alpha 69.01
_cell_angle_beta 90.00
_cell_angle_gamma 90.00
loop_
_symmetry_equiv_pos_as_xyz
'x,y,z'
loop_
_atom_site_label
_atom_site_type_symbol
_atom_site_fract_x
_atom_site_fract_y
_atom_site_fract_z
Ag1 Ag 0.000 0.023 0.977
Ag2 Ag 0.500 0.233 0.267
Cr1 Cr 0.000 0.455 0.544
Fe1 Fe 0.500 0.789 0.711
```

Properties
* E: -5.6197 eV per atom
* magnetic moment: 0.620 μB/f.u.
* DFT formation energy: 0.33 eV/atom
* D(E_F): 0.906 states/eV per atom
* ΔE to the lowest computed polymorph: 0.000 eV per atom

***

2.
The following is a DFT calculation (PBE) of FeCoW2 after structural relaxation.

Cell and atoms, written as CIF:
```
data_FeCoW2
_chemical_formula_sum 'Fe1 Co1 W2'
_symmetry_space_group_name_H-M 'P 1'
_symmetry_Int_Tables_number 1
_cell_length_a 3.640
_cell_length_b 2.701
_cell_length_c 6.026
_cell_angle_alpha 63.41
_cell_angle_beta 90.00
_cell_angle_gamma 90.00
loop_
_symmetry_equiv_pos_as_xyz
'x,y,z'
loop_
_atom_site_label
_atom_site_type_symbol
_atom_site_fract_x
_atom_site_fract_y
_atom_site_fract_z
Co1 Co 0.500 0.250 0.250
Fe1 Fe 0.500 0.750 0.750
W1 W 0.000 0.001 0.998
W2 W 0.000 0.499 0.502
```

Properties
* E: -10.2608 eV per atom
* magnetic moment: 0.046 μB/f.u.
* DFT formation energy: 0.11 eV/atom
* D(E_F): 1.102 states/eV per atom
* ΔE to the lowest computed polymorph: 0.010 eV per atom

***

3.
The following is a DFT calculation (PBE) of ZrZn4Co after structural relaxation.

Cell and atoms, written as CIF:
```
data_ZrZn4Co
_chemical_formula_sum 'Zr1 Zn4 Co1'
_symmetry_space_group_name_H-M 'P 1'
_symmetry_Int_Tables_number 1
_cell_length_a 5.023
_cell_length_b 5.023
_cell_length_c 5.023
_cell_angle_alpha 60.00
_cell_angle_beta 60.00
_cell_angle_gamma 60.00
loop_
_symmetry_equiv_pos_as_xyz
'x,y,z'
loop_
_atom_site_label
_atom_site_type_symbol
_atom_site_fract_x
_atom_site_fract_y
_atom_site_fract_z
Zr1 Zr 0.750 0.750 0.750
Zn1 Zn 0.876 0.375 0.375
Zn2 Zn 0.375 0.375 0.876
Zn3 Zn 0.375 0.876 0.375
Zn4 Zn 0.375 0.375 0.375
Co1 Co 0.000 0.000 0.000
```

Properties
* E: -3.5327 eV per atom
* magnetic moment: 1.020 μB/f.u.
* DFT formation energy: -0.07 eV/atom
* D(E_F): 0.635 states/eV per atom
* ΔE to the lowest computed polymorph: 0.115 eV per atom

***

4.
The following is a DFT calculation (PBE) of Ac2Pr2PtRh2 after structural relaxation.

Cell and atoms, written as CIF:
```
data_Ac2Pr2PtRh2
_chemical_formula_sum 'Ac2 Pr2 Pt1 Rh2'
_symmetry_space_group_name_H-M 'P 1'
_symmetry_Int_Tables_number 1
_cell_length_a 4.095
_cell_length_b 8.221
_cell_length_c 7.485
_cell_angle_alpha 63.66
_cell_angle_beta 74.12
_cell_angle_gamma 75.58
loop_
_symmetry_equiv_pos_as_xyz
'x,y,z'
loop_
_atom_site_label
_atom_site_type_symbol
_atom_site_fract_x
_atom_site_fract_y
_atom_site_fract_z
Ac1 Ac 0.530 0.246 0.694
Ac2 Ac 0.470 0.754 0.306
Pr1 Pr 0.221 0.702 0.855
Pr2 Pr 0.779 0.298 0.145
Pt1 Pt 0.000 0.000 0.000
Rh1 Rh 0.116 0.462 0.306
Rh2 Rh 0.884 0.538 0.694
```

Properties
* E: -6.1983 eV per atom
* magnetic moment: 0.000 μB/f.u.
* DFT formation energy: -0.70 eV/atom
* D(E_F): 0.563 states/eV per atom

***

5.
The following is a DFT calculation (PBE) of Li3Tc after structural relaxation.

Cell and atoms, written as CIF:
```
data_Li3Tc
_chemical_formula_sum 'Li3 Tc1'
_symmetry_space_group_name_H-M 'P 1'
_symmetry_Int_Tables_number 1
_cell_length_a 4.410
_cell_length_b 4.410
_cell_length_c 4.410
_cell_angle_alpha 60.00
_cell_angle_beta 60.00
_cell_angle_gamma 60.00
loop_
_symmetry_equiv_pos_as_xyz
'x,y,z'
loop_
_atom_site_label
_atom_site_type_symbol
_atom_site_fract_x
_atom_site_fract_y
_atom_site_fract_z
Li1 Li 0.250 0.250 0.250
Li2 Li 0.750 0.750 0.750
Li3 Li 0.500 0.500 0.500
Tc1 Tc 0.000 0.000 0.000
```

Properties
* E: -3.4049 eV per atom
* magnetic moment: 2.211 μB/f.u.
* DFT formation energy: 0.62 eV/atom
* D(E_F): 0.448 states/eV per atom
* ΔE to the lowest computed polymorph: 0.464 eV per atom

***

6.
The following is a DFT calculation (PBE) of MnNiBi2N after structural relaxation.

Cell and atoms, written as CIF:
```
data_MnNiBi2N
_chemical_formula_sum 'Mn1 Ni1 Bi2 N1'
_symmetry_space_group_name_H-M 'P 1'
_symmetry_Int_Tables_number 1
_cell_length_a 5.317
_cell_length_b 3.439
_cell_length_c 5.317
_cell_angle_alpha 90.00
_cell_angle_beta 90.00
_cell_angle_gamma 90.00
loop_
_symmetry_equiv_pos_as_xyz
'x,y,z'
loop_
_atom_site_label
_atom_site_type_symbol
_atom_site_fract_x
_atom_site_fract_y
_atom_site_fract_z
Ni1 Ni 0.500 0.500 0.500
Mn1 Mn 0.000 0.000 0.000
Bi1 Bi 0.000 0.000 0.500
Bi2 Bi 0.500 0.000 0.000
N1 N 0.000 0.500 0.000
```

Properties
* E: -5.7368 eV per atom
* magnetic moment: 0.940 μB/f.u.
* ΔE_f (raw): 0.47 eV/atom
* D(E_F): 0.750 states/eV per atom

***

7.
The following is a DFT calculation (PBE) of SmThSe2 after structural relaxation.

Cell and atoms, written as CIF:
```
data_SmThSe2
_chemical_formula_sum 'Sm1 Th1 Se2'
_symmetry_space_group_name_H-M 'P 1'
_symmetry_Int_Tables_number 1
_cell_length_a 3.644
_cell_length_b 3.644
_cell_length_c 7.226
_cell_angle_alpha 90.00
_cell_angle_beta 90.00
_cell_angle_gamma 90.00
loop_
_symmetry_equiv_pos_as_xyz
'x,y,z'
loop_
_atom_site_label
_atom_site_type_symbol
_atom_site_fract_x
_atom_site_fract_y
_atom_site_fract_z
Se1 Se 0.000 0.000 0.752
Se2 Se 0.000 0.000 0.248
Sm1 Sm 0.500 0.500 0.500
Th1 Th 0.500 0.500 0.000
```

Properties
* E: -6.2756 eV per atom
* magnetic moment: 0.000 μB/f.u.
* ΔE_f (raw): -1.50 eV/atom
* D(E_F): 0.632 states/eV per atom
* ΔE to the lowest computed polymorph: 0.171 eV per atom

***

8.
The following is a DFT calculation (PBE) of Cs3CuTeS9 after structural relaxation.

Cell and atoms, written as CIF:
```
data_Cs3CuTeS9
_chemical_formula_sum 'Cs12 Cu4 Te4 S36'
_symmetry_space_group_name_H-M 'P 1'
_symmetry_Int_Tables_number 1
_cell_length_a 13.226
_cell_length_b 13.226
_cell_length_c 12.261
_cell_angle_alpha 90.00
_cell_angle_beta 90.00
_cell_angle_gamma 118.31
loop_
_symmetry_equiv_pos_as_xyz
'x,y,z'
loop_
_atom_site_label
_atom_site_type_symbol
_atom_site_fract_x
_atom_site_fract_y
_atom_site_fract_z
Cs1 Cs 0.443 0.151 0.176
Cs2 Cs 0.464 0.464 0.665
Cs3 Cs 0.151 0.443 0.176
Cs4 Cs 0.943 0.651 0.324
Cs5 Cs 0.557 0.849 0.824
Cs6 Cs 0.057 0.349 0.676
Cs7 Cs 0.964 0.964 0.835
Cs8 Cs 0.536 0.536 0.335
Cs9 Cs 0.849 0.557 0.824
Cs10 Cs 0.651 0.943 0.324
Cs11 Cs 0.036 0.036 0.165
Cs12 Cs 0.349 0.057 0.676
Cu1 Cu 0.436 0.564 0.000
Cu2 Cu 0.936 0.064 0.500
Cu3 Cu 0.564 0.436 0.000
Cu4 Cu 0.064 0.936 0.500
Te1 Te 0.268 0.268 0.925
Te2 Te 0.232 0.232 0.425
Te3 Te 0.768 0.768 0.575
Te4 Te 0.732 0.732 0.075
S1 S 0.177 0.567 0.900
S2 S 0.256 0.418 0.456
S3 S 0.324 0.559 0.855
S4 S 0.582 0.744 0.544
S5 S 0.941 0.176 0.355
S6 S 0.067 0.677 0.600
S7 S 0.756 0.918 0.044
S8 S 0.716 0.237 0.582
S9 S 0.433 0.823 0.100
S10 S 0.418 0.256 0.456
S11 S 0.244 0.082 0.956
S12 S 0.263 0.784 0.082
S13 S 0.284 0.763 0.418
S14 S 0.763 0.284 0.418
S15 S 0.918 0.756 0.044
S16 S 0.737 0.216 0.918
S17 S 0.237 0.716 0.582
S18 S 0.441 0.676 0.145
S19 S 0.619 0.619 0.918
S20 S 0.933 0.323 0.400
S21 S 0.881 0.881 0.418
S22 S 0.567 0.177 0.900
S23 S 0.323 0.933 0.400
S24 S 0.059 0.824 0.645
S25 S 0.082 0.244 0.956
S26 S 0.119 0.119 0.582
S27 S 0.176 0.941 0.355
S28 S 0.744 0.582 0.544
S29 S 0.824 0.059 0.645
S30 S 0.559 0.324 0.855
S31 S 0.381 0.381 0.082
S32 S 0.677 0.067 0.600
S33 S 0.823 0.433 0.100
S34 S 0.784 0.263 0.082
S35 S 0.676 0.441 0.145
S36 S 0.216 0.737 0.918
```

Properties
* E: -3.8724 eV per atom
* magnetic moment: 0.000 μB/f.u.
* ΔE_f (raw): -0.52 eV/atom

***

9.
The following is a DFT calculation (PBE) of SmScCdRu after structural relaxation.

Cell and atoms, written as CIF:
```
data_SmScCdRu
_chemical_formula_sum 'Sm1 Sc1 Cd1 Ru1'
_symmetry_space_group_name_H-M 'P 1'
_symmetry_Int_Tables_number 1
_cell_length_a 3.402
_cell_length_b 3.402
_cell_length_c 7.528
_cell_angle_alpha 90.00
_cell_angle_beta 90.00
_cell_angle_gamma 90.00
loop_
_symmetry_equiv_pos_as_xyz
'x,y,z'
loop_
_atom_site_label
_atom_site_type_symbol
_atom_site_fract_x
_atom_site_fract_y
_atom_site_fract_z
Sm1 Sm 0.500 0.500 0.785
Sc1 Sc 0.500 0.500 0.355
Cd1 Cd 0.000 0.000 0.100
Ru1 Ru 0.000 0.000 0.544
```

Properties
* E: -5.6959 eV per atom
* magnetic moment: 0.000 μB/f.u.
* DFT formation energy: -0.39 eV/atom
* D(E_F): 0.912 states/eV per atom
* ΔE to the lowest computed polymorph: 0.000 eV per atom

***

10.
The following is a DFT calculation (PBE) of Pa3Tl3InTe8 after structural relaxation.

Cell and atoms, written as CIF:
```
data_Pa3Tl3InTe8
_chemical_formula_sum 'Pa3 Tl3 In1 Te8'
_symmetry_space_group_name_H-M 'P 1'
_symmetry_Int_Tables_number 1
_cell_length_a 9.052
_cell_length_b 9.052
_cell_length_c 9.582
_cell_angle_alpha 118.20
_cell_angle_beta 90.00
_cell_angle_gamma 120.00
loop_
_symmetry_equiv_pos_as_xyz
'x,y,z'
loop_
_atom_site_label
_atom_site_type_symbol
_atom_site_fract_x
_atom_site_fract_y
_atom_site_fract_z
Pa1 Pa 0.500 0.000 0.500
Pa2 Pa 0.500 0.500 0.500
Pa3 Pa 0.000 0.500 0.500
Tl1 Tl 0.000 0.000 0.000
Tl2 Tl 0.000 0.500 0.000
Tl3 Tl 0.500 0.500 0.000
In1 In 0.000 0.000 0.500
Te1 Te 0.261 0.522 0.282
Te2 Te 0.739 0.478 0.718
Te3 Te 0.752 0.505 0.287
Te4 Te 0.248 0.495 0.713
Te5 Te 0.752 0.035 0.287
Te6 Te 0.248 0.965 0.713
Te7 Te 0.282 0.035 0.287
Te8 Te 0.718 0.965 0.713
```

Properties
* E: -4.8151 eV per atom
* magnetic moment: 2.986 μB/f.u.
* ΔE_f (raw): -0.58 eV/atom
* D(E_F): 1.026 states/eV per atom

***

11.
The following is a DFT calculation (PBE) of Ga3OsPb after structural relaxation.

Cell and atoms, written as CIF:
```
data_Ga3OsPb
_chemical_formula_sum 'Ga3 Os1 Pb1'
_symmetry_space_group_name_H-M 'P 1'
_symmetry_Int_Tables_number 1
_cell_length_a 4.871
_cell_length_b 4.871
_cell_length_c 4.871
_cell_angle_alpha 90.00
_cell_angle_beta 90.00
_cell_angle_gamma 90.00
loop_
_symmetry_equiv_pos_as_xyz
'x,y,z'
loop_
_atom_site_label
_atom_site_type_symbol
_atom_site_fract_x
_atom_site_fract_y
_atom_site_fract_z
Pb1 Pb 0.500 0.500 0.500
Os1 Os 0.000 0.000 0.000
Ga1 Ga 0.000 0.500 0.000
Ga2 Ga 0.000 0.000 0.500
Ga3 Ga 0.500 0.000 0.000
```

Properties
* E: -4.6444 eV per atom
* magnetic moment: 0.000 μB/f.u.
* DFT formation energy: 0.16 eV/atom
* D(E_F): 1.164 states/eV per atom
* ΔE to the lowest computed polymorph: 0.000 eV per atom

***

12.
The following is a DFT calculation (PBE) of ScTaCl after structural relaxation.

Cell and atoms, written as CIF:
```
data_ScTaCl
_chemical_formula_sum 'Sc1 Ta1 Cl1'
_symmetry_space_group_name_H-M 'P 1'
_symmetry_Int_Tables_number 1
_cell_length_a 7.440
_cell_length_b 7.440
_cell_length_c 7.440
_cell_angle_alpha 156.59
_cell_angle_beta 156.59
_cell_angle_gamma 33.34
loop_
_symmetry_equiv_pos_as_xyz
'x,y,z'
loop_
_atom_site_label
_atom_site_type_symbol
_atom_site_fract_x
_atom_site_fract_y
_atom_site_fract_z
Cl1 Cl 0.963 0.963 0.000
Sc1 Sc 0.343 0.343 0.000
Ta1 Ta 0.694 0.694 0.000
```

Properties
* E: -6.8673 eV per atom
* magnetic moment: 0.000 μB/f.u.
* ΔE_f (raw): -0.19 eV/atom
* D(E_F): 1.122 states/eV per atom
* ΔE to the lowest computed polymorph: 0.155 eV per atom

***

13.
The following is a DFT calculation (PBE) of Pr6CdIr3 after structural relaxation.

Cell and atoms, written as CIF:
```
data_Pr6CdIr3
_chemical_formula_sum 'Pr12 Cd2 Ir6'
_symmetry_space_group_name_H-M 'P 1'
_symmetry_Int_Tables_number 1
_cell_length_a 7.340
_cell_length_b 8.907
_cell_length_c 8.907
_cell_angle_alpha 99.29
_cell_angle_beta 90.00
_cell_angle_gamma 90.00
loop_
_symmetry_equiv_pos_as_xyz
'x,y,z'
loop_
_atom_site_label
_atom_site_type_symbol
_atom_site_fract_x
_atom_site_fract_y
_atom_site_fract_z
Pr1 Pr 0.176 0.688 0.629
Pr2 Pr 0.676 0.629 0.688
Pr3 Pr 0.284 0.496 0.935
Pr4 Pr 0.784 0.935 0.496
Pr5 Pr 0.149 0.062 0.938
Pr6 Pr 0.613 0.212 0.788
Pr7 Pr 0.113 0.788 0.212
Pr8 Pr 0.649 0.938 0.062
Pr9 Pr 0.284 0.065 0.504
Pr10 Pr 0.784 0.504 0.065
Pr11 Pr 0.176 0.371 0.312
Pr12 Pr 0.676 0.312 0.371
Cd1 Cd 0.999 0.326 0.674
Cd2 Cd 0.499 0.674 0.326
Ir1 Ir 0.462 0.917 0.736
Ir2 Ir 0.962 0.736 0.917
Ir3 Ir 0.382 0.387 0.613
Ir4 Ir 0.882 0.613 0.387
Ir5 Ir 0.962 0.083 0.264
Ir6 Ir 0.462 0.264 0.083
```

Properties
* E: -6.0722 eV per atom
* magnetic moment: 0.000 μB/f.u.
* DFT formation energy: -0.45 eV/atom
* D(E_F): 0.895 states/eV per atom